Version i
Entry from Alexandria: a geometry-optimized YAgS3 structure (PBE).

Cell: 4.7744 4.7744 4.7744 Å, 90.00 90.00 90.00°
Fractional positions:
Y1 0.5000 0.5000 0.5000
S1 0.0000 0.5000 0.0000
S2 0.0000 0.0000 0.5000
S3 0.5000 0.0000 0.0000
Ag1 0.0000 0.0000 0.0000

density: 4.47 Mg/m³
density of states at the Fermi level: 0.33 states/eV/atom


Version ii
Entry from Alexandria: a geometry-optimized YAgS3 structure (PBE).

Cell: 5.2509 5.2509 5.2509 Å, 90.00 90.00 90.00°
Last column: magnetic moment on the atom in μB.
Fractional positions:
Y1 0.0000 0.0000 0.0000  -0.04
S1 0.0000 0.5000 0.0000  0.50
S2 0.0000 0.0000 0.5000  0.41
S3 0.5000 0.0000 0.0000  0.36
Ag1 0.5000 0.5000 0.5000  0.01

density: 3.36 Mg/m³
density of states at the Fermi level: 0.71 states/eV/atom


Most favorable structure: version i. The second most favorable one is 104 meV per atom above it.


Version i
Entry from Alexandria: a geometry-optimized ZnAgS3 structure (PBE).

Cell: 4.6957 4.6957 4.6957 Å, 90.00 90.00 90.00°
Fractional positions:
Zn1 0.0000 0.0000 0.0000
S1 0.0000 0.5000 0.0000
S2 0.0000 0.0000 0.5000
S3 0.5000 0.0000 0.0000
Ag1 0.5000 0.5000 0.5000

density: 4.32 Mg/m³
density of states at the Fermi level: 1.01 states/eV/atom


Version ii
Entry from Alexandria: a geometry-optimized ZnAgS3 structure (PBE).

Cell: 4.8192 4.8192 4.8192 Å, 90.00 90.00 90.00°
Fractional positions:
Zn1 0.5000 0.5000 0.5000
S1 0.0000 0.5000 0.0000
S2 0.0000 0.0000 0.5000
S3 0.5000 0.0000 0.0000
Ag1 0.0000 0.0000 0.0000

density: 4.00 Mg/m³
density of states at the Fermi level: 1.21 states/eV/atom


Most favorable structure: version i. The second most favorable one is 246 meV per atom above it.


Version i
Entry from Alexandria: a geometry-optimized ZnAg3S structure (PBE).

Cell: 4.9076 4.9076 4.9076 Å, 90.00 90.00 90.00°
Fractional positions:
Zn1 0.5000 0.5000 0.5000
S1 0.0000 0.0000 0.0000
Ag1 0.0000 0.5000 0.0000
Ag2 0.0000 0.0000 0.5000
Ag3 0.5000 0.0000 0.0000

density: 5.92 Mg/m³
density of states at the Fermi level: 0.49 states/eV/atom


Version ii
Entry from Alexandria: a geometry-optimized ZnAg3S structure (PBE).

Cell: 4.8311 4.8311 4.8311 Å, 90.00 90.00 90.00°
Fractional positions:
Zn1 0.0000 0.0000 0.0000
S1 0.5000 0.5000 0.5000
Ag1 0.0000 0.5000 0.0000
Ag2 0.0000 0.0000 0.5000
Ag3 0.5000 0.0000 0.0000

density: 6.20 Mg/m³
density of states at the Fermi level: 0.57 states/eV/atom


Most favorable structure: version i. The second most favorable one is 305 meV per atom above it.


Version i
Entry from Alexandria: a geometry-optimized Zr4AgS8 structure (PBE).

Cell: 7.3268 7.3268 7.8890 Å, 62.33 62.33 60.00°
Fractional positions:
Zr1 0.0000 0.5000 0.0000
Zr2 0.5000 0.5000 0.0000
Zr3 0.5000 0.0000 0.0000
Zr4 0.0000 0.0000 0.0000
Ag1 0.5000 0.5000 0.5000
S1 0.7428 0.2415 0.7742
S2 0.7585 0.2572 0.2258
S3 0.2572 0.7585 0.2258
S4 0.7585 0.7585 0.2258
S5 0.7407 0.7407 0.7780
S6 0.2593 0.2593 0.2220
S7 0.2415 0.2415 0.7742
S8 0.2415 0.7428 0.7742

density: 3.91 Mg/m³
density of states at the Fermi level: 0.26 states/eV/atom


Version ii
Entry from Alexandria: a geometry-optimized Zr4AgS8 structure (PBE).

Cell: 7.5550 7.5550 7.5550 Å, 60.00 60.00 60.00°
Fractional positions:
Zr1 0.8842 0.3719 0.3719
Zr2 0.3719 0.8842 0.3719
Zr3 0.3719 0.3719 0.8842
Zr4 0.3719 0.3719 0.3719
Ag1 0.7500 0.7500 0.7500
S1 0.6072 0.1309 0.1309
S2 0.1309 0.6072 0.1309
S3 0.1309 0.1309 0.6072
S4 0.1309 0.1309 0.1309
S5 0.1526 0.6158 0.6158
S6 0.6158 0.1526 0.6158
S7 0.6158 0.6158 0.1526
S8 0.6158 0.6158 0.6158

density: 3.97 Mg/m³
density of states at the Fermi level: 0.25 states/eV/atom


Most favorable structure: version ii. The second most favorable one is 29 meV per atom above it.


Version i
Entry from Alexandria: a geometry-optimized ZrAg2S4 structure (PBE).

Cell: 5.0978 5.0978 7.2650 Å, 69.46 69.46 90.00°
Last column: magnetic moment on the atom in μB.
Fractional positions:
S1 0.1973 0.1973 0.6055  0.43
S2 0.8027 0.8027 0.3945  0.43
S3 0.0000 0.5000 0.0000  0.18
S4 0.5000 0.0000 0.0000  0.18
Zr1 0.0000 0.0000 0.0000  -0.08
Ag1 0.3889 0.3889 0.2223  0.07
Ag2 0.6111 0.6111 0.7777  0.07

density: 4.41 Mg/m³
density of states at the Fermi level: 0.83 states/eV/atom


Version ii
Entry from Alexandria: a geometry-optimized ZrAg2S4 structure (PBE).

Cell: 7.2228 7.9505 7.9505 Å, 55.39 62.98 62.98°
Fractional positions:
Zr1 0.0000 0.5000 0.0000
Zr2 0.5000 0.5000 0.0000
Ag1 0.0955 0.1545 0.6545
Ag2 0.5000 0.0000 0.0000
Ag3 0.5000 0.5000 0.5000
Ag4 0.9045 0.8455 0.3455
S1 0.2314 0.2806 0.2567
S2 0.2314 0.7567 0.7806
S3 0.2518 0.2788 0.7788
S4 0.6906 0.2788 0.7788
S5 0.3094 0.7212 0.2212
S6 0.7686 0.2433 0.2194
S7 0.7482 0.7212 0.2212
S8 0.7686 0.7194 0.7433

density: 4.48 Mg/m³
density of states at the Fermi level: 0.15 states/eV/atom


Most favorable structure: version ii. The second most favorable one is 332 meV per atom above it.


Version i
Entry from Alexandria: a geometry-optimized Zr2AgS4 structure (PBE).

Cell: 7.6198 7.6148 13.1976 Å, 106.75 90.00 120.02°
Fractional positions:
Zr1 0.5000 0.0000 0.0000
Zr2 0.0000 0.0000 0.5000
Zr3 0.0000 0.5000 0.0000
Zr4 0.5000 0.5000 0.5000
Zr5 0.2500 0.0000 0.2500
Zr6 0.7500 0.0000 0.7500
Zr7 0.5000 0.0000 0.5000
Zr8 0.0000 0.0000 0.0000
Ag1 0.9374 0.3746 0.3123
Ag2 0.4373 0.3746 0.8123
Ag3 0.5627 0.6254 0.1877
Ag4 0.0626 0.6254 0.6877
S1 0.3620 0.7586 0.1207
S2 0.8620 0.7586 0.6207
S3 0.1380 0.2414 0.3793
S4 0.6380 0.2414 0.8793
S5 0.1379 0.7757 0.3794
S6 0.6378 0.7757 0.8794
S7 0.6295 0.7589 0.3880
S8 0.1294 0.7589 0.8880
S9 0.8966 0.7586 0.1207
S10 0.3966 0.7586 0.6207
S11 0.8706 0.2411 0.1120
S12 0.3705 0.2411 0.6120
S13 0.3622 0.2243 0.1206
S14 0.8621 0.2243 0.6206
S15 0.6034 0.2414 0.3793
S16 0.1034 0.2414 0.8793

density: 4.45 Mg/m³
density of states at the Fermi level: 0.46 states/eV/atom


Version ii
Entry from Alexandria: a geometry-optimized Zr2AgS4 structure (PBE).

Cell: 3.6594 6.2948 13.0296 Å, 90.00 90.00 106.90°
Fractional positions:
Zr1 0.1311 0.2622 0.4303
Zr2 0.8689 0.7378 0.9303
Zr3 0.1311 0.2622 0.0697
Zr4 0.8689 0.7378 0.5697
Ag1 0.6130 0.2260 0.7500
Ag2 0.3870 0.7740 0.2500
S1 0.7771 0.5542 0.1145
S2 0.7771 0.5542 0.3855
S3 0.2229 0.4458 0.8855
S4 0.2229 0.4458 0.6145
S5 0.9512 0.9025 0.7500
S6 0.0488 0.0975 0.2500
S7 0.5000 0.0000 0.0000
S8 0.5000 0.0000 0.5000

density: 4.84 Mg/m³
density of states at the Fermi level: 0.26 states/eV/atom


Most favorable structure: version i. The second most favorable one is 92 meV per atom above it.


Version i
Entry from Alexandria: a geometry-optimized Ag5Sb4 structure (PBE).

Cell: 7.1061 7.1061 7.1061 Å, 95.42 95.42 144.21°
Fractional positions:
Ag1 0.0000 0.0000 0.0000
Ag2 0.6609 0.3391 0.0000
Ag3 0.3391 0.6609 0.0000
Ag4 0.3391 0.3391 0.6782
Ag5 0.6609 0.6609 0.3218
Sb1 0.6962 0.0000 0.6962
Sb2 0.3038 0.0000 0.3038
Sb3 0.0000 0.3038 0.3038
Sb4 0.0000 0.6962 0.6962

density: 8.53 Mg/m³
density of states at the Fermi level: 0.23 states/eV/atom


Version ii
Entry from Alexandria: a geometry-optimized Ag5Sb4 structure (PBE).

Cell: 8.9777 8.9777 5.8756 Å, 90.00 90.00 120.00°
Fractional positions:
Sb1 0.0000 0.0000 0.0000
Sb2 0.0000 0.0000 0.5000
Sb3 0.0000 0.3940 0.2500
Sb4 0.6060 0.6060 0.2500
Sb5 0.3940 0.0000 0.2500
Sb6 0.0000 0.6060 0.7500
Sb7 0.3940 0.3940 0.7500
Sb8 0.6060 0.0000 0.7500
Ag1 0.0000 0.7060 0.2500
Ag2 0.2940 0.2940 0.2500
Ag3 0.7060 0.0000 0.2500
Ag4 0.0000 0.2940 0.7500
Ag5 0.7060 0.7060 0.7500
Ag6 0.2940 0.0000 0.7500
Ag7 0.6667 0.3333 0.0000
Ag8 0.3333 0.6667 0.5000
Ag9 0.3333 0.6667 0.0000
Ag10 0.6667 0.3333 0.5000

density: 8.31 Mg/m³
density of states at the Fermi level: 0.42 states/eV/atom


Most favorable structure: version i. The second most favorable one is 87 meV per atom above it.


Version i
Entry from Alexandria: a geometry-optimized AgSb3 structure (PBE).

Cell: 3.1554 3.1554 10.2486 Å, 90.00 90.00 92.26°
Fractional positions:
Sb1 0.5000 0.5000 0.7843
Sb2 0.0000 0.0000 0.5000
Sb3 0.5000 0.5000 0.2157
Ag1 0.0000 0.0000 0.0000

density: 7.71 Mg/m³
density of states at the Fermi level: 0.32 states/eV/atom


Version ii
Entry from Alexandria: a geometry-optimized AgSb3 structure (PBE).

Cell: 7.6328 7.6328 7.6328 Å, 136.80 136.80 62.75°
Fractional positions:
Ag1 0.6097 0.6097 0.0000
Ag2 0.3903 0.3903 0.0000
Sb1 0.0000 0.5000 0.5000
Sb2 0.5000 0.0000 0.5000
Sb3 0.7500 0.2500 0.5000
Sb4 0.2500 0.7500 0.5000
Sb5 0.8575 0.8575 0.0000
Sb6 0.1425 0.1425 0.0000

density: 7.63 Mg/m³
density of states at the Fermi level: 0.55 states/eV/atom


Version iii
Entry from Alexandria: a geometry-optimized AgSb3 structure (PBE).

Cell: 6.7090 6.7090 6.7090 Å, 152.75 127.79 59.88°
Fractional positions:
Sb1 0.5208 0.5000 0.0208
Sb2 0.9952 0.3144 0.6808
Sb3 0.3664 0.6856 0.6808
Ag1 0.9509 0.0000 0.9509

density: 7.24 Mg/m³
density of states at the Fermi level: 0.35 states/eV/atom


Version iv
Entry from Alexandria: a geometry-optimized AgSb3 structure (PBE).

Cell: 5.9267 5.9267 5.9267 Å, 90.00 90.00 90.00°
Fractional positions:
Ag1 0.0000 0.0000 0.0000
Ag2 0.5000 0.5000 0.5000
Sb1 0.7500 0.5000 0.0000
Sb2 0.2500 0.5000 0.0000
Sb3 0.0000 0.7500 0.5000
Sb4 0.0000 0.2500 0.5000
Sb5 0.5000 0.0000 0.2500
Sb6 0.5000 0.0000 0.7500

density: 7.55 Mg/m³
density of states at the Fermi level: 0.76 states/eV/atom


Most favorable structure: version iii. The second most favorable one is 34 meV per atom above it.


Version i
Entry from Alexandria: a geometry-optimized Ag4Sb5 structure (PBE).

Cell: 8.8647 8.8647 6.2738 Å, 90.00 90.00 120.00°
Fractional positions:
Sb1 0.0000 0.6722 0.2500
Sb2 0.3278 0.3278 0.2500
Sb3 0.6722 0.0000 0.2500
Sb4 0.0000 0.3278 0.7500
Sb5 0.6722 0.6722 0.7500
Sb6 0.3278 0.0000 0.7500
Sb7 0.6667 0.3333 0.0000
Sb8 0.3333 0.6667 0.5000
Sb9 0.3333 0.6667 0.0000
Sb10 0.6667 0.3333 0.5000
Ag1 0.0000 0.0000 0.0000
Ag2 0.0000 0.0000 0.5000
Ag3 0.0000 0.3232 0.2500
Ag4 0.6768 0.6768 0.2500
Ag5 0.3232 0.0000 0.2500
Ag6 0.0000 0.6768 0.7500
Ag7 0.3232 0.3232 0.7500
Ag8 0.6768 0.0000 0.7500

density: 8.09 Mg/m³
density of states at the Fermi level: 0.38 states/eV/atom


Version ii
Entry from Alexandria: a geometry-optimized Ag4Sb5 structure (PBE).

Cell: 7.2959 7.2959 7.2959 Å, 95.26 95.26 144.75°
Fractional positions:
Ag1 0.6466 0.0000 0.6466
Ag2 0.3534 0.0000 0.3534
Ag3 0.0000 0.3534 0.3534
Ag4 0.0000 0.6466 0.6466
Sb1 0.0000 0.0000 0.0000
Sb2 0.6727 0.3273 0.0000
Sb3 0.3273 0.6727 0.0000
Sb4 0.3273 0.3273 0.6547
Sb5 0.6727 0.6727 0.3453

density: 8.09 Mg/m³
density of states at the Fermi level: 0.48 states/eV/atom


Most favorable structure: version ii. The second most favorable one is 35 meV per atom above it.